Compound: Ac5ZnCu4
Source: Alexandria via LeMat-Bulk
Functional: GGA-PBE
Structure: relaxed

The structure in POSCAR format:
```
Ac5ZnCu4
1.0
3.822 0.000 0.000
0.000 3.822 0.000
0.000 0.000 19.195
Ac Zn Cu
5 1 4
Direct
0.000 0.000 0.000 Ac
0.000 0.000 0.198 Ac
0.000 0.000 0.396 Ac
0.000 0.000 0.604 Ac
0.000 0.000 0.802 Ac
0.500 0.500 0.500 Zn
0.500 0.500 0.098 Cu
0.500 0.500 0.297 Cu
0.500 0.500 0.703 Cu
0.500 0.500 0.902 Cu
```

Results
Total magnetization in μB/f.u.: 0.00
Uncorrected energy in eV/atom: -3.940
Theoretical density in g cm⁻³: 8.62
ΔH_f (0 K) in meV/atom: -120